Version a
First-principles (PBE-GGA) data for crystalline I2ClO at its relaxed geometry, as listed in Alexandria.

abc: 6.1067 6.1067 8.1310
angles: 67.94 67.94 90.00
Sites, in units of the cell vectors:
I: 0.3855 0.1250 0.2500
I: 0.3645 0.6250 0.2500
I: 0.3750 0.6145 0.7500
I: 0.8750 0.6355 0.7500
O: 0.5000 0.5000 0.0000
O: 0.2500 0.7500 0.5000
Cl: 0.0000 0.0000 0.0000
Cl: 0.7500 0.2500 0.5000

Results
space-group type	I-42d
M_tot	0.047	μB per atom
V	32.12	Å³ per atom

=====

Version b
First-principles (PBE-GGA) data for crystalline I2ClO at its relaxed geometry, as listed in Alexandria.

abc: 4.9994 4.9994 4.9994
angles: 60.00 60.00 60.00
Sites, in units of the cell vectors:
I: 0.2500 0.2500 0.2500
I: 0.7500 0.7500 0.7500
O: 0.0000 0.0000 0.0000
Cl: 0.5000 0.5000 0.5000

Results
space-group type	Fm-3m
M_tot	0.000	μB per atom
V	22.09	Å³ per atom

=====

Most stable of them? version a.

=====

Version a
First-principles (PBE-GGA) data for crystalline PbIClO2 at its relaxed geometry, as listed in Alexandria.

abc: 4.2342 4.2342 6.7018
angles: 90.00 90.00 90.00
Sites, in units of the cell vectors:
Pb: 0.0000 0.0000 0.0000
I: 0.0000 0.0000 0.5000
O: 0.0000 0.5000 0.0000
O: 0.5000 0.0000 0.0000
Cl: 0.5000 0.5000 0.5000

Results
space-group type	P4/mmm
M_tot	0.000	μB per atom
V	24.03	Å³ per atom

=====

Version b
First-principles (PBE-GGA) data for crystalline PbIClO2 at its relaxed geometry, as listed in Alexandria.

abc: 4.5134 4.5134 5.1057
angles: 90.00 90.00 90.00
Sites, in units of the cell vectors:
Pb: 0.5000 0.5000 0.5000
I: 0.0000 0.0000 0.5000
O: 0.0000 0.5000 0.0000
O: 0.5000 0.0000 0.0000
Cl: 0.0000 0.0000 0.0000

Results
space-group type	P4/mmm
M_tot	0.158	μB per atom
V	20.80	Å³ per atom

=====

Most stable of them? version a.

=====

Version a
First-principles (PBE-GGA) data for crystalline RbIClO2 at its relaxed geometry, as listed in Alexandria.

abc: 4.6525 4.6525 5.3826
angles: 90.00 90.00 90.00
Sites, in units of the cell vectors:
I: 0.0000 0.0000 0.5000
O: 0.0000 0.5000 0.0000
O: 0.5000 0.0000 0.0000
Rb: 0.5000 0.5000 0.5000
Cl: 0.0000 0.0000 0.0000

Results
space-group type	P4/mmm
M_tot	0.127	μB per atom
V	23.30	Å³ per atom

=====

Version b
First-principles (PBE-GGA) data for crystalline RbIClO2 at its relaxed geometry, as listed in Alexandria.

abc: 4.8633 4.8633 8.0599
angles: 90.00 90.00 90.00
Sites, in units of the cell vectors:
I: 0.0000 0.0000 0.5000
O: 0.0000 0.5000 0.0000
O: 0.5000 0.0000 0.0000
Rb: 0.0000 0.0000 0.0000
Cl: 0.5000 0.5000 0.5000

Results
space-group type	P4/mmm
M_tot	0.630	μB per atom
V	38.13	Å³ per atom

=====

Most stable of them? version a.

=====

Version a
First-principles (PBE-GGA) data for crystalline S2IClO at its relaxed geometry, as listed in Alexandria.

abc: 4.4502 4.4502 4.6254
angles: 90.00 90.00 90.00
Sites, in units of the cell vectors:
I: 0.5000 0.5000 0.5000
S: 0.0000 0.5000 0.0000
S: 0.5000 0.0000 0.0000
O: 0.0000 0.0000 0.0000
Cl: 0.0000 0.0000 0.5000

Results
space-group type	P4/mmm
M_tot	0.000	μB per atom
V	18.32	Å³ per atom

=====

Version b
First-principles (PBE-GGA) data for crystalline S2IClO at its relaxed geometry, as listed in Alexandria.

abc: 5.1124 5.1124 5.2397
angles: 90.00 90.00 90.00
Sites, in units of the cell vectors:
I: 0.0000 0.0000 0.0000
S: 0.0000 0.5000 0.0000
S: 0.5000 0.0000 0.0000
O: 0.5000 0.5000 0.5000
Cl: 0.0000 0.0000 0.5000

Results
space-group type	P4/mmm
M_tot	0.000	μB per atom
V	27.39	Å³ per atom

=====

Most stable of them? version a.

=====

Version a
First-principles (PBE-GGA) data for crystalline SbI2ClO at its relaxed geometry, as listed in Alexandria.

abc: 5.2657 5.2657 4.6403
angles: 90.00 90.00 90.00
Sites, in units of the cell vectors:
I: 0.0000 0.5000 0.0000
I: 0.5000 0.0000 0.0000
Sb: 0.0000 0.0000 0.5000
O: 0.0000 0.0000 0.0000
Cl: 0.5000 0.5000 0.5000

Results
space-group type	P4/mmm
M_tot	0.000	μB per atom
V	25.73	Å³ per atom

=====

Version b
First-principles (PBE-GGA) data for crystalline SbI2ClO at its relaxed geometry, as listed in Alexandria.

abc: 6.1082 6.1082 4.0315
angles: 90.00 90.00 90.00
Sites, in units of the cell vectors:
I: 0.0000 0.5000 0.0000
I: 0.5000 0.0000 0.0000
Sb: 0.0000 0.0000 0.0000
O: 0.0000 0.0000 0.5000
Cl: 0.5000 0.5000 0.5000

Results
space-group type	P4/mmm
M_tot	0.251	μB per atom
V	30.08	Å³ per atom

=====

Most stable of them? version b.

=====

Version a
First-principles (PBE-GGA) data for crystalline SnIClO2 at its relaxed geometry, as listed in Alexandria.

abc: 4.4473 4.4473 5.0917
angles: 90.00 90.00 90.00
Sites, in units of the cell vectors:
I: 0.0000 0.0000 0.5000
Sn: 0.5000 0.5000 0.5000
O: 0.0000 0.5000 0.0000
O: 0.5000 0.0000 0.0000
Cl: 0.0000 0.0000 0.0000

Results
space-group type	P4/mmm
M_tot	0.141	μB per atom
V	20.14	Å³ per atom

=====

Version b
First-principles (PBE-GGA) data for crystalline SnIClO2 at its relaxed geometry, as listed in Alexandria.

abc: 4.0255 4.0255 6.7234
angles: 90.00 90.00 90.00
Sites, in units of the cell vectors:
I: 0.0000 0.0000 0.5000
Sn: 0.0000 0.0000 0.0000
O: 0.0000 0.5000 0.0000
O: 0.5000 0.0000 0.0000
Cl: 0.5000 0.5000 0.5000

Results
space-group type	P4/mmm
M_tot	0.002	μB per atom
V	21.79	Å³ per atom

=====

Most stable of them? version b.

=====

Version a
First-principles (PBE-GGA) data for crystalline Os3ICl at its relaxed geometry, as listed in Alexandria.

abc: 4.4935 4.4935 4.4935
angles: 90.00 90.00 90.00
Sites, in units of the cell vectors:
I: 0.5000 0.5000 0.5000
Os: 0.0000 0.5000 0.0000
Os: 0.0000 0.0000 0.5000
Os: 0.5000 0.0000 0.0000
Cl: 0.0000 0.0000 0.0000

Results
space-group type	Pm-3m
M_tot	0.000	μB per atom
V	18.15	Å³ per atom

=====

Version b
First-principles (PBE-GGA) data for crystalline Os3ICl at its relaxed geometry, as listed in Alexandria.

abc: 4.9428 4.9428 4.9428
angles: 90.00 90.00 90.00
Sites, in units of the cell vectors:
I: 0.0000 0.0000 0.0000
Os: 0.0000 0.5000 0.0000
Os: 0.0000 0.0000 0.5000
Os: 0.5000 0.0000 0.0000
Cl: 0.5000 0.5000 0.5000

Results
space-group type	Pm-3m
M_tot	0.953	μB per atom
V	24.15	Å³ per atom

=====

Most stable of them? version a.

=====

Version a
First-principles (PBE-GGA) data for crystalline OsI2Cl2 at its relaxed geometry, as listed in Alexandria.

abc: 6.2928 6.2928 8.7246
angles: 90.00 90.00 90.00
Sites, in units of the cell vectors:
I: 0.1651 0.6651 0.5000
I: 0.6651 0.8349 0.5000
I: 0.8349 0.3349 0.5000
I: 0.3349 0.1651 0.5000
Os: 0.0000 0.0000 0.0000
Os: 0.5000 0.5000 0.0000
Cl: 0.3190 0.8190 0.0000
Cl: 0.8190 0.6810 0.0000
Cl: 0.6810 0.1810 0.0000
Cl: 0.1810 0.3190 0.0000

Results
space-group type	P4/mbm
M_tot	0.009	μB per atom
V	34.55	Å³ per atom

=====

Version b
First-principles (PBE-GGA) data for crystalline OsI2Cl2 at its relaxed geometry, as listed in Alexandria.

abc: 4.1316 4.1316 10.6303
angles: 78.79 78.79 90.00
Sites, in units of the cell vectors:
I: 0.7500 0.2500 0.5000
I: 0.2500 0.7500 0.5000
Os: 0.0000 0.0000 0.0000
Cl: 0.4255 0.4255 0.1491
Cl: 0.5745 0.5745 0.8509

Results
space-group type	I4/mmm
M_tot	0.820	μB per atom
V	34.90	Å³ per atom

=====

Most stable of them? version a.

=====

Version a
First-principles (PBE-GGA) data for crystalline P2OsICl at its relaxed geometry, as listed in Alexandria.

abc: 5.1786 5.1786 5.0932
angles: 90.00 90.00 90.00
Sites, in units of the cell vectors:
I: 0.0000 0.0000 0.0000
P: 0.0000 0.5000 0.0000
P: 0.5000 0.0000 0.0000
Os: 0.5000 0.5000 0.5000
Cl: 0.0000 0.0000 0.5000

Results
space-group type	P4/mmm
M_tot	0.710	μB per atom
V	27.32	Å³ per atom

=====

Version b
First-principles (PBE-GGA) data for crystalline P2OsICl at its relaxed geometry, as listed in Alexandria.

abc: 4.6463 4.6463 4.9258
angles: 90.00 90.00 90.00
Sites, in units of the cell vectors:
I: 0.5000 0.5000 0.5000
P: 0.0000 0.5000 0.0000
P: 0.5000 0.0000 0.0000
Os: 0.0000 0.0000 0.0000
Cl: 0.0000 0.0000 0.5000

Results
space-group type	P4/mmm
M_tot	0.000	μB per atom
V	21.27	Å³ per atom

=====

Most stable of them? version b.

=====

Version a
First-principles (PBE-GGA) data for crystalline OsSICl2 at its relaxed geometry, as listed in Alexandria.

abc: 4.9323 4.9323 4.5352
angles: 90.00 90.00 90.00
Sites, in units of the cell vectors:
I: 0.5000 0.5000 0.5000
S: 0.0000 0.0000 0.5000
Os: 0.0000 0.0000 0.0000
Cl: 0.0000 0.5000 0.0000
Cl: 0.5000 0.0000 0.0000

Results
space-group type	P4/mmm
M_tot	0.000	μB per atom
V	22.07	Å³ per atom

=====

Version b
First-principles (PBE-GGA) data for crystalline OsSICl2 at its relaxed geometry, as listed in Alexandria.

abc: 5.4724 5.4724 5.1694
angles: 90.00 90.00 90.00
Sites, in units of the cell vectors:
I: 0.0000 0.0000 0.0000
S: 0.0000 0.0000 0.5000
Os: 0.5000 0.5000 0.5000
Cl: 0.0000 0.5000 0.0000
Cl: 0.5000 0.0000 0.0000

Results
space-group type	P4/mmm
M_tot	0.943	μB per atom
V	30.96	Å³ per atom

=====

Most stable of them? version a.

=====

Version a
First-principles (PBE-GGA) data for crystalline Te2OsICl at its relaxed geometry, as listed in Alexandria.

abc: 5.4595 5.4595 5.3931
angles: 90.00 90.00 90.00
Sites, in units of the cell vectors:
I: 0.0000 0.0000 0.5000
Te: 0.0000 0.5000 0.0000
Te: 0.5000 0.0000 0.0000
Os: 0.5000 0.5000 0.5000
Cl: 0.0000 0.0000 0.0000

Results
space-group type	P4/mmm
M_tot	0.933	μB per atom
V	32.15	Å³ per atom

=====

Version b
First-principles (PBE-GGA) data for crystalline Te2OsICl at its relaxed geometry, as listed in Alexandria.

abc: 5.1696 5.1696 5.6110
angles: 90.00 90.00 90.00
Sites, in units of the cell vectors:
I: 0.0000 0.0000 0.5000
Te: 0.0000 0.5000 0.0000
Te: 0.5000 0.0000 0.0000
Os: 0.0000 0.0000 0.0000
Cl: 0.5000 0.5000 0.5000

Results
space-group type	P4/mmm
M_tot	0.000	μB per atom
V	29.99	Å³ per atom

=====

Most stable of them? version b.

=====

Version a
First-principles (PBE-GGA) data for crystalline TeOsI2Cl at its relaxed geometry, as listed in Alexandria.

abc: 5.5347 5.5347 5.0242
angles: 90.00 90.00 90.00
Sites, in units of the cell vectors:
I: 0.0000 0.5000 0.0000
I: 0.5000 0.0000 0.0000
Te: 0.0000 0.0000 0.5000
Os: 0.0000 0.0000 0.0000
Cl: 0.5000 0.5000 0.5000

Results
space-group type	P4/mmm
M_tot	0.000	μB per atom
V	30.78	Å³ per atom

=====

Version b
First-principles (PBE-GGA) data for crystalline TeOsI2Cl at its relaxed geometry, as listed in Alexandria.

abc: 5.5013 5.5013 5.7243
angles: 90.00 90.00 90.00
Sites, in units of the cell vectors:
I: 0.0000 0.5000 0.0000
I: 0.5000 0.0000 0.0000
Te: 0.0000 0.0000 0.5000
Os: 0.5000 0.5000 0.5000
Cl: 0.0000 0.0000 0.0000

Results
space-group type	P4/mmm
M_tot	0.966	μB per atom
V	34.65	Å³ per atom

=====

Most stable of them? version a.

=====

Version a
First-principles (PBE-GGA) data for crystalline P3ICl at its relaxed geometry, as listed in Alexandria.

abc: 4.7896 4.7896 4.7896
angles: 90.00 90.00 90.00
Sites, in units of the cell vectors:
I: 0.5000 0.5000 0.5000
P: 0.0000 0.5000 0.0000
P: 0.0000 0.0000 0.5000
P: 0.5000 0.0000 0.0000
Cl: 0.0000 0.0000 0.0000

Results
space-group type	Pm-3m
M_tot	0.000	μB per atom
V	21.97	Å³ per atom

=====

Version b
First-principles (PBE-GGA) data for crystalline P3ICl at its relaxed geometry, as listed in Alexandria.

abc: 5.1952 5.1952 5.1952
angles: 90.00 90.00 90.00
Sites, in units of the cell vectors:
I: 0.0000 0.0000 0.0000
P: 0.0000 0.5000 0.0000
P: 0.0000 0.0000 0.5000
P: 0.5000 0.0000 0.0000
Cl: 0.5000 0.5000 0.5000

Results
space-group type	Pm-3m
M_tot	0.000	μB per atom
V	28.04	Å³ per atom

=====

Most stable of them? version a.

=====

Version a
First-principles (PBE-GGA) data for crystalline P2ICl at its relaxed geometry, as listed in Alexandria.

abc: 4.8895 4.8895 4.8895
angles: 60.00 60.00 60.00
Sites, in units of the cell vectors:
I: 0.5000 0.5000 0.5000
P: 0.2500 0.2500 0.2500
P: 0.7500 0.7500 0.7500
Cl: 0.0000 0.0000 0.0000

Results
space-group type	Fm-3m
M_tot	0.000	μB per atom
V	20.66	Å³ per atom

=====

Version b
First-principles (PBE-GGA) data for crystalline P2ICl at its relaxed geometry, as listed in Alexandria.

abc: 7.6475 7.6475 6.2817
angles: 52.50 52.50 90.00
Sites, in units of the cell vectors:
I: 0.0000 0.0000 0.0000
I: 0.7500 0.2500 0.5000
P: 0.6221 0.1250 0.2500
P: 0.1279 0.6250 0.2500
P: 0.3750 0.3779 0.7500
P: 0.8750 0.8721 0.7500
Cl: 0.5000 0.5000 0.0000
Cl: 0.2500 0.7500 0.5000

Results
space-group type	I-42d
M_tot	0.000	μB per atom
V	23.37	Å³ per atom

=====

Most stable of them? version b.